AcGdHf after structural relaxation, computed with PBE.

Structure (POSCAR):
```
AcGdHf
1.0
0.000 3.810 3.810
3.810 0.000 3.810
3.810 3.810 0.000
Ac Gd Hf
1 1 1
Direct
0.000 0.000 0.000
0.500 0.500 0.500
0.250 0.250 0.250
```

Summary:
The calculation puts the energy at -5.41 eV per atom. As for the volume: 36.9 A^3/atom. The size of the total moment comes out at 1.833 μB/f.u.

=====

LaCdAsO after structural relaxation, computed with PBE.

Structure (POSCAR):
```
LaCdAsO
1.0
4.602 0.000 0.000
0.000 6.585 0.000
0.000 0.000 6.366
La Cd As O
2 2 2 2
Direct
0.000 0.245 0.000
0.000 0.755 0.500
0.500 0.355 0.607
0.500 0.645 0.107
0.000 0.222 0.489
0.000 0.778 0.989
0.500 0.313 0.977
0.500 0.687 0.477
```

Summary:
The calculation puts the energy at -5.41 eV per atom. As for the volume: 24.1 A^3/atom. The size of the total moment comes out at 0.000 μB/f.u.

=====

ScNbTc after structural relaxation, computed with PBE.

Structure (POSCAR):
```
ScNbTc
1.0
3.221 0.000 0.000
0.000 3.221 0.000
0.000 0.000 10.209
Sc Nb Tc
2 2 2
Direct
0.000 0.000 0.153
0.000 0.000 0.847
0.500 0.500 0.351
0.500 0.500 0.649
0.000 0.000 0.500
0.500 0.500 0.000
```

Summary:
The calculation puts the energy at -8.99 eV per atom. As for the volume: 17.7 A^3/atom. The size of the total moment comes out at 0.130 μB/f.u.

=====

Ho3Zn3Cu2Pt after structural relaxation, computed with PBE.

Structure (POSCAR):
```
Ho3Zn3Cu2Pt
1.0
7.078 0.000 0.000
-3.539 6.129 0.000
0.000 0.000 3.924
Ho Zn Cu Pt
3 3 2 1
Direct
0.000 0.408 0.000
0.408 0.000 0.000
0.592 0.592 0.000
0.000 0.748 0.500
0.252 0.252 0.500
0.748 0.000 0.500
0.333 0.667 0.500
0.667 0.333 0.500
0.000 0.000 0.000
```

Summary:
The calculation puts the energy at -3.96 eV per atom. As for the volume: 18.9 A^3/atom. The size of the total moment comes out at 0.003 μB/f.u.

=====

> Look up the volume of the third one.

17.7 A^3/atom

=====

> Which of these has the lowest volume?

ScNbTc

=====

Please write out number 4 again, unchanged.
Ho3Zn3Cu2Pt after structural relaxation, computed with PBE.

Structure (POSCAR):
```
Ho3Zn3Cu2Pt
1.0
7.078 0.000 0.000
-3.539 6.129 0.000
0.000 0.000 3.924
Ho Zn Cu Pt
3 3 2 1
Direct
0.000 0.408 0.000
0.408 0.000 0.000
0.592 0.592 0.000
0.000 0.748 0.500
0.252 0.252 0.500
0.748 0.000 0.500
0.333 0.667 0.500
0.667 0.333 0.500
0.000 0.000 0.000
```

Summary:
The calculation puts the energy at -3.96 eV per atom. As for the volume: 18.9 A^3/atom. The size of the total moment comes out at 0.003 μB/f.u.